# 1
DFT (PBE) results for a geometry-optimized HgPPd5 structure.

Geometry as CIF:
```
data_HgPPd5
_cell_length_a 3.988
_cell_length_b 3.988
_cell_length_c 7.094
_cell_angle_alpha 90.00
_cell_angle_beta 90.00
_cell_angle_gamma 90.00
_symmetry_space_group_name_H-M 'P 1'
_symmetry_Int_Tables_number 1
loop_
_symmetry_equiv_pos_as_xyz
'x,y,z'
loop_
_atom_site_label
_atom_site_type_symbol
_atom_site_fract_x
_atom_site_fract_y
_atom_site_fract_z
Hg1 Hg 0.000 0.000 0.000
P1 P 0.500 0.500 0.500
Pd1 Pd 0.000 0.500 0.303
Pd2 Pd 0.000 0.500 0.697
Pd3 Pd 0.500 0.000 0.303
Pd4 Pd 0.500 0.000 0.697
Pd5 Pd 0.500 0.500 0.000
```

Properties
- VASP energy: -34.2 eV for the cell shown
- SG: No. 123

---

# 2
DFT (PBE) results for a geometry-optimized Rb2HgPSe5 structure.

Geometry as CIF:
```
data_Rb2HgPSe5
_cell_length_a 18.021
_cell_length_b 18.021
_cell_length_c 7.328
_cell_angle_alpha 90.00
_cell_angle_beta 90.00
_cell_angle_gamma 90.00
_symmetry_space_group_name_H-M 'P 1'
_symmetry_Int_Tables_number 1
loop_
_symmetry_equiv_pos_as_xyz
'x,y,z'
loop_
_atom_site_label
_atom_site_type_symbol
_atom_site_fract_x
_atom_site_fract_y
_atom_site_fract_z
Rb1 Rb 0.076 0.102 0.226
Rb2 Rb 0.102 0.424 0.274
Rb3 Rb 0.128 0.839 0.265
Rb4 Rb 0.161 0.628 0.765
Rb5 Rb 0.339 0.872 0.765
Rb6 Rb 0.372 0.661 0.265
Rb7 Rb 0.398 0.076 0.274
Rb8 Rb 0.424 0.398 0.226
Rb9 Rb 0.576 0.602 0.774
Rb10 Rb 0.602 0.924 0.726
Rb11 Rb 0.628 0.339 0.735
Rb12 Rb 0.661 0.128 0.235
Rb13 Rb 0.839 0.372 0.235
Rb14 Rb 0.872 0.161 0.735
Rb15 Rb 0.898 0.576 0.726
Rb16 Rb 0.924 0.898 0.774
Hg1 Hg 0.120 0.187 0.723
Hg2 Hg 0.187 0.380 0.777
Hg3 Hg 0.313 0.120 0.777
Hg4 Hg 0.380 0.313 0.723
Hg5 Hg 0.620 0.687 0.277
Hg6 Hg 0.687 0.880 0.223
Hg7 Hg 0.813 0.620 0.223
Hg8 Hg 0.880 0.813 0.277
P1 P 0.019 0.657 0.231
P2 P 0.157 0.981 0.731
P3 P 0.343 0.519 0.731
P4 P 0.481 0.843 0.231
P5 P 0.519 0.157 0.769
P6 P 0.657 0.481 0.269
P7 P 0.843 0.019 0.269
P8 P 0.981 0.343 0.769
Se1 Se 0.003 0.713 0.965
Se2 Se 0.015 0.269 0.537
Se3 Se 0.054 0.054 0.745
Se4 Se 0.054 0.446 0.755
Se5 Se 0.122 0.865 0.776
Se6 Se 0.135 0.622 0.276
Se7 Se 0.182 0.260 0.012
Se8 Se 0.213 0.997 0.465
Se9 Se 0.231 0.015 0.963
Se10 Se 0.240 0.182 0.488
Se11 Se 0.260 0.318 0.488
Se12 Se 0.269 0.485 0.963
Se13 Se 0.287 0.503 0.465
Se14 Se 0.318 0.240 0.012
Se15 Se 0.365 0.878 0.276
Se16 Se 0.378 0.635 0.776
Se17 Se 0.446 0.054 0.755
Se18 Se 0.446 0.446 0.745
Se19 Se 0.485 0.231 0.537
Se20 Se 0.497 0.787 0.965
Se21 Se 0.503 0.213 0.035
Se22 Se 0.515 0.769 0.463
Se23 Se 0.554 0.554 0.255
Se24 Se 0.554 0.946 0.245
Se25 Se 0.622 0.365 0.224
Se26 Se 0.635 0.122 0.724
Se27 Se 0.682 0.760 0.988
Se28 Se 0.713 0.497 0.535
Se29 Se 0.731 0.515 0.037
Se30 Se 0.740 0.682 0.512
Se31 Se 0.760 0.818 0.512
Se32 Se 0.769 0.985 0.037
Se33 Se 0.787 0.003 0.535
Se34 Se 0.818 0.740 0.988
Se35 Se 0.865 0.378 0.724
Se36 Se 0.878 0.135 0.224
Se37 Se 0.946 0.554 0.245
Se38 Se 0.946 0.946 0.255
Se39 Se 0.985 0.731 0.463
Se40 Se 0.997 0.287 0.035
```

Properties
- VASP energy: -244.0 eV for the cell shown
- SG: No. 86

---

# 3
DFT (PBE) results for a geometry-optimized ReHgP2 structure.

Geometry as CIF:
```
data_ReHgP2
_cell_length_a 6.797
_cell_length_b 6.797
_cell_length_c 6.797
_cell_angle_alpha 129.80
_cell_angle_beta 129.80
_cell_angle_gamma 73.72
_symmetry_space_group_name_H-M 'P 1'
_symmetry_Int_Tables_number 1
loop_
_symmetry_equiv_pos_as_xyz
'x,y,z'
loop_
_atom_site_label
_atom_site_type_symbol
_atom_site_fract_x
_atom_site_fract_y
_atom_site_fract_z
Re1 Re 0.000 0.000 0.000
Re2 Re 0.750 0.250 0.500
Hg1 Hg 0.250 0.750 0.500
Hg2 Hg 0.500 0.500 0.000
P1 P 0.068 0.125 0.443
P2 P 0.375 0.932 0.057
P3 P 0.682 0.625 0.557
P4 P 0.875 0.318 0.943
```

Properties
- VASP energy: -44.9 eV for the cell shown
- SG: No. 122

---

# 4
DFT (PBE) results for a geometry-optimized HgPS4 structure.

Geometry as CIF:
```
data_HgPS4
_cell_length_a 5.896
_cell_length_b 7.114
_cell_length_c 8.359
_cell_angle_alpha 77.38
_cell_angle_beta 89.43
_cell_angle_gamma 80.15
_symmetry_space_group_name_H-M 'P 1'
_symmetry_Int_Tables_number 1
loop_
_symmetry_equiv_pos_as_xyz
'x,y,z'
loop_
_atom_site_label
_atom_site_type_symbol
_atom_site_fract_x
_atom_site_fract_y
_atom_site_fract_z
Hg1 Hg 0.000 0.000 0.000
Hg2 Hg 0.500 0.500 0.500
P1 P 0.230 0.751 0.746
P2 P 0.770 0.249 0.254
S1 S 0.081 0.264 0.144
S2 S 0.196 0.809 0.494
S3 S 0.349 0.972 0.828
S4 S 0.458 0.489 0.807
S5 S 0.542 0.511 0.193
S6 S 0.651 0.028 0.172
S7 S 0.804 0.191 0.506
S8 S 0.919 0.736 0.856
```

Properties
- Energy above the lowest structure with this stoichiometry: 19 meV per atom
- SG: No. 2

---

# 5
DFT (PBE) results for a geometry-optimized HgPS4 structure.

Geometry as CIF:
```
data_HgPS4
_cell_length_a 6.416
_cell_length_b 6.421
_cell_length_c 8.659
_cell_angle_alpha 90.00
_cell_angle_beta 90.00
_cell_angle_gamma 90.00
_symmetry_space_group_name_H-M 'P 1'
_symmetry_Int_Tables_number 1
loop_
_symmetry_equiv_pos_as_xyz
'x,y,z'
loop_
_atom_site_label
_atom_site_type_symbol
_atom_site_fract_x
_atom_site_fract_y
_atom_site_fract_z
Hg1 Hg 0.000 0.000 0.000
Hg2 Hg 0.500 0.000 0.500
P1 P 0.000 0.000 0.500
P2 P 0.000 0.500 0.000
S1 S 0.186 0.312 0.135
S2 S 0.186 0.688 0.865
S3 S 0.193 0.186 0.630
S4 S 0.193 0.814 0.370
S5 S 0.807 0.186 0.370
S6 S 0.807 0.814 0.630
S7 S 0.814 0.312 0.865
S8 S 0.814 0.688 0.135
```

Properties
- Energy above the lowest structure with this stoichiometry: 63 meV per atom
- SG: No. 16

---

# 6
DFT (PBE) results for a geometry-optimized HgPS4 structure.

Geometry as CIF:
```
data_HgPS4
_cell_length_a 6.029
_cell_length_b 6.029
_cell_length_c 6.029
_cell_angle_alpha 122.00
_cell_angle_beta 122.00
_cell_angle_gamma 86.58
_symmetry_space_group_name_H-M 'P 1'
_symmetry_Int_Tables_number 1
loop_
_symmetry_equiv_pos_as_xyz
'x,y,z'
loop_
_atom_site_label
_atom_site_type_symbol
_atom_site_fract_x
_atom_site_fract_y
_atom_site_fract_z
Hg1 Hg 0.000 0.000 0.000
P1 P 0.750 0.250 0.500
S1 S 0.111 0.552 0.913
S2 S 0.448 0.361 0.559
S3 S 0.639 0.198 0.087
S4 S 0.802 0.889 0.441
```

Properties
- Energy above the lowest structure with this stoichiometry: 0 meV per atom
- SG: No. 82

---

# 7
DFT (PBE) results for a geometry-optimized HgPS3 structure.

Geometry as CIF:
```
data_HgPS3
_cell_length_a 6.332
_cell_length_b 7.425
_cell_length_c 11.809
_cell_angle_alpha 90.00
_cell_angle_beta 121.73
_cell_angle_gamma 90.00
_symmetry_space_group_name_H-M 'P 1'
_symmetry_Int_Tables_number 1
loop_
_symmetry_equiv_pos_as_xyz
'x,y,z'
loop_
_atom_site_label
_atom_site_type_symbol
_atom_site_fract_x
_atom_site_fract_y
_atom_site_fract_z
Hg1 Hg 0.126 0.061 0.195
Hg2 Hg 0.126 0.439 0.695
Hg3 Hg 0.874 0.561 0.305
Hg4 Hg 0.874 0.939 0.805
P1 P 0.488 0.124 0.054
P2 P 0.488 0.376 0.554
P3 P 0.512 0.624 0.446
P4 P 0.512 0.876 0.946
S1 S 0.155 0.240 0.932
S2 S 0.155 0.260 0.432
S3 S 0.231 0.713 0.923
S4 S 0.231 0.787 0.423
S5 S 0.447 0.540 0.265
S6 S 0.447 0.960 0.765
S7 S 0.553 0.040 0.235
S8 S 0.553 0.460 0.735
S9 S 0.769 0.213 0.577
S10 S 0.769 0.287 0.077
S11 S 0.845 0.740 0.568
S12 S 0.845 0.760 0.068
```

Properties
- VASP energy: -75.5 eV for the cell shown
- SG: No. 14

---

# 8
DFT (PBE) results for a geometry-optimized HgPS2 structure.

Geometry as CIF:
```
data_HgPS2
_cell_length_a 3.205
_cell_length_b 3.206
_cell_length_c 9.445
_cell_angle_alpha 89.64
_cell_angle_beta 89.57
_cell_angle_gamma 60.03
_symmetry_space_group_name_H-M 'P 1'
_symmetry_Int_Tables_number 1
loop_
_symmetry_equiv_pos_as_xyz
'x,y,z'
loop_
_atom_site_label
_atom_site_type_symbol
_atom_site_fract_x
_atom_site_fract_y
_atom_site_fract_z
Hg1 Hg 0.000 0.000 0.000
P1 P 0.670 0.679 0.500
S1 S 0.000 0.010 0.665
S2 S 0.006 0.013 0.335
```

Properties
- VASP energy: -12.8 eV for the cell shown
- SG: No. 1

---

# 9
DFT (PBE) results for a geometry-optimized HgPSe2S structure.

Geometry as CIF:
```
data_HgPSe2S
_cell_length_a 6.507
_cell_length_b 6.601
_cell_length_c 7.676
_cell_angle_alpha 95.83
_cell_angle_beta 106.34
_cell_angle_gamma 118.09
_symmetry_space_group_name_H-M 'P 1'
_symmetry_Int_Tables_number 1
loop_
_symmetry_equiv_pos_as_xyz
'x,y,z'
loop_
_atom_site_label
_atom_site_type_symbol
_atom_site_fract_x
_atom_site_fract_y
_atom_site_fract_z
Hg1 Hg 0.132 0.254 0.355
Hg2 Hg 0.868 0.746 0.645
P1 P 0.450 0.941 0.338
P2 P 0.550 0.059 0.662
Se1 Se 0.290 0.752 0.742
Se2 Se 0.490 0.364 0.715
Se3 Se 0.510 0.636 0.285
Se4 Se 0.710 0.248 0.258
S1 S 0.092 0.849 0.205
S2 S 0.908 0.151 0.795
```

Properties
- Energy above the lowest structure with this stoichiometry: 0 meV per atom
- SG: No. 2

---

# 10
DFT (PBE) results for a geometry-optimized HgPSeS2 structure.

Geometry as CIF:
```
data_HgPSeS2
_cell_length_a 6.379
_cell_length_b 6.527
_cell_length_c 7.531
_cell_angle_alpha 96.68
_cell_angle_beta 105.80
_cell_angle_gamma 118.19
_symmetry_space_group_name_H-M 'P 1'
_symmetry_Int_Tables_number 1
loop_
_symmetry_equiv_pos_as_xyz
'x,y,z'
loop_
_atom_site_label
_atom_site_type_symbol
_atom_site_fract_x
_atom_site_fract_y
_atom_site_fract_z
Hg1 Hg 0.132 0.258 0.353
Hg2 Hg 0.868 0.742 0.647
P1 P 0.455 0.945 0.337
P2 P 0.545 0.055 0.663
Se1 Se 0.492 0.368 0.724
Se2 Se 0.508 0.632 0.276
S1 S 0.090 0.849 0.198
S2 S 0.292 0.764 0.728
S3 S 0.708 0.236 0.272
S4 S 0.910 0.151 0.802
```

Properties
- Energy above the lowest structure with this stoichiometry: 0 meV per atom
- SG: No. 2

---

Listing volume for the structures above in their given order: 16.117; 33.051; 22.607; 28.082; 29.723; 24.993; 23.610; 21.018; 26.823; 25.461 Å³ per atom.